1.
A relaxed structure of SrAs2WSe. Source: Alexandria via LeMat-Bulk, functional GGA-PBEsol.

Values from the calculation:
- Space group: P4/mmm, No. 123
- Formation energy without anion corrections: 0.145 eV/atom
- Uncorrected energy: -28.99 eV/f.u.

Geometry as POSCAR:
```
SrAs2WSe
1.0
4.7128 0.0000 0.0000
0.0000 4.7128 0.0000
0.0000 0.0000 6.2135
Sr As W Se
1 2 1 1
Cartesian
0.0000 0.0000 0.0000
0.0000 2.3564 3.1068
2.3564 0.0000 3.1068
0.0000 0.0000 3.1068
2.3564 2.3564 0.0000
```



2.
A relaxed structure of TaAsSe2. Source: Alexandria via LeMat-Bulk, functional GGA-PBEsol.

Values from the calculation:
- Space group: P4mm, No. 99
- Formation energy without anion corrections: -0.285 eV/atom
- Uncorrected energy: -26.50 eV/f.u.

Geometry as POSCAR:
```
TaAsSe2
1.0
3.3164 0.0000 0.0000
0.0000 3.3164 0.0000
0.0000 0.0000 7.0182
Ta As Se
1 1 2
Cartesian
0.0000 0.0000 0.0000
1.6582 1.6582 1.3643
0.0000 0.0000 2.7261
1.6582 1.6582 5.5197
```



3.
A relaxed structure of TaAs2Se. Source: Alexandria via LeMat-Bulk, functional GGA-PBEsol.

Values from the calculation:
- Space group: Cmmm, No. 65
- Formation energy without anion corrections: -0.015 eV/atom
- Uncorrected energy: -26.67 eV/f.u.

Geometry as POSCAR:
```
TaAs2Se
1.0
1.7520 -2.2058 0.0000
1.7520 2.2058 0.0000
0.0000 0.0000 10.2210
Ta As Se
1 2 1
Cartesian
0.0000 0.0000 0.0000
1.7520 0.0000 2.0424
1.7520 0.0000 8.1786
0.0000 0.0000 5.1105
```



4.
A relaxed structure of TaAsSe2. Source: Alexandria via LeMat-Bulk, functional GGA-PBEsol.

Values from the calculation:
- Space group: Amm2, No. 38
- Formation energy without anion corrections: -0.086 eV/atom
- Uncorrected energy: -25.70 eV/f.u.

Geometry as POSCAR:
```
TaAsSe2
1.0
4.8078 0.0000 0.0000
0.0000 1.6588 4.7107
0.0000 -1.6588 4.7107
Ta As Se
1 1 2
Cartesian
0.0000 0.0000 0.0000
2.4039 0.0000 3.8376
0.0000 0.0000 6.7156
2.4039 0.0000 1.1561
```



5.
A relaxed structure of TaAs4Se. Source: Alexandria via LeMat-Bulk, functional GGA-PBEsol.

Values from the calculation:
- Space group: F-43m, No. 216
- Formation energy without anion corrections: 0.598 eV/atom
- Uncorrected energy: -33.24 eV/f.u.

Geometry as POSCAR:
```
TaAs4Se
1.0
0.0000 3.8079 3.8079
3.8079 0.0000 3.8079
3.8079 3.8079 0.0000
Ta As Se
1 4 1
Cartesian
0.0000 0.0000 0.0000
2.8543 2.8543 2.8543
4.7616 4.7616 2.8543
4.7616 2.8543 4.7616
2.8543 4.7616 4.7616
5.7119 5.7119 5.7119
```



6.
A relaxed structure of TaTeAsSe2. Source: Alexandria via LeMat-Bulk, functional GGA-PBEsol.

Values from the calculation:
- Space group: P4/mmm, No. 123
- Formation energy without anion corrections: 1.423 eV/atom
- Uncorrected energy: -21.77 eV/f.u.

Geometry as POSCAR:
```
TaTeAsSe2
1.0
5.0937 0.0000 0.0000
0.0000 5.0937 0.0000
0.0000 0.0000 5.1410
Ta Te As Se
1 1 1 2
Cartesian
0.0000 0.0000 0.0000
2.5469 2.5469 2.5705
2.5469 2.5469 0.0000
0.0000 2.5469 2.5705
2.5469 0.0000 2.5705
```



7.
A relaxed structure of TaTeAsSe2. Source: Alexandria via LeMat-Bulk, functional GGA-PBEsol.

Values from the calculation:
- Space group: P4/mmm, No. 123
- Formation energy without anion corrections: 0.151 eV/atom
- Uncorrected energy: -28.13 eV/f.u.

Geometry as POSCAR:
```
TaTeAsSe2
1.0
4.8652 0.0000 0.0000
0.0000 4.8652 0.0000
0.0000 0.0000 5.2039
Ta Te As Se
1 1 1 2
Cartesian
0.0000 0.0000 0.0000
2.4326 2.4326 2.6019
0.0000 0.0000 2.6019
0.0000 2.4326 0.0000
2.4326 0.0000 0.0000
```



8.
A relaxed structure of TbAsSe. Source: Alexandria via LeMat-Bulk, functional GGA-PBEsol.

Values from the calculation:
- Space group: Pnma, No. 62
- Formation energy without anion corrections: -1.503 eV/atom
- Uncorrected energy: -18.48 eV/f.u.

Geometry as POSCAR:
```
TbAsSe
1.0
17.3144 0.0000 0.0000
0.0000 3.8634 0.0000
0.0000 0.0000 3.8979
Tb As Se
4 4 4
Cartesian
2.4107 0.9659 0.9105
6.2464 2.8976 2.8595
11.0679 0.9659 1.0384
14.9036 2.8976 2.9873
0.0269 0.9659 2.7937
8.6303 2.8976 0.8447
8.6841 0.9659 3.0532
17.2874 2.8976 1.1042
3.2558 2.8976 2.8666
5.4014 0.9659 0.9177
11.9130 2.8976 2.9802
14.0586 0.9659 1.0312
```



| no. | total magnetization (μB per cell) |
| --- | --- |
| 1 | 0.0 |
| 2 | 0.0 |
| 3 | 0.0 |
| 4 | 0.0 |
| 5 | 0.0 |
| 6 | 1.9 |
| 7 | 0.0 |
| 8 | 0.0 |